Record 1
Entry from Alexandria: a relaxed structure of Dy4Er3Mg2 (PBE).

Computed properties:
Crystal system: monoclinic
Energy of formation from the pure elements (eV/atom): 0.01

```
data_Dy4Er3Mg2
_symmetry_space_group_name_H-M 'P 1'
_symmetry_Int_Tables_number 1
_cell_length_a 4.906
_cell_length_b 7.757
_cell_length_c 7.764
_cell_angle_alpha 107.61
_cell_angle_beta 108.42
_cell_angle_gamma 90.00
loop_
_symmetry_equiv_pos_as_xyz
'x,y,z'
loop_
_atom_site_label
_atom_site_fract_x
_atom_site_fract_y
_atom_site_fract_z
Er1 0.889 0.333 0.778
Er2 0.000 0.000 0.000
Dy1 0.445 0.666 0.890
Mg1 0.331 0.001 0.662
Dy2 0.222 0.330 0.443
Er3 0.111 0.667 0.222
Dy3 0.778 0.670 0.557
Mg2 0.669 0.999 0.338
Dy4 0.555 0.334 0.110
```

=====

Record 2
Entry from Alexandria: a relaxed structure of BaBeSn2 (PBE).

Computed properties:
Crystal system: tetragonal
Energy of formation from the pure elements (eV/atom): -0.06

```
data_BaBeSn2
_symmetry_space_group_name_H-M 'P 1'
_symmetry_Int_Tables_number 1
_cell_length_a 5.669
_cell_length_b 5.669
_cell_length_c 9.194
_cell_angle_alpha 72.04
_cell_angle_beta 72.04
_cell_angle_gamma 90.00
loop_
_symmetry_equiv_pos_as_xyz
'x,y,z'
loop_
_atom_site_label
_atom_site_fract_x
_atom_site_fract_y
_atom_site_fract_z
Be1 0.500 0.500 0.000
Ba1 0.750 0.250 0.500
Sn1 0.875 0.626 0.750
Be2 0.250 0.750 0.500
Sn2 0.376 0.125 0.250
Ba2 0.000 0.000 0.000
Sn3 0.375 0.624 0.750
Sn4 0.374 0.625 0.250
```

=====

Record 3
Entry from Alexandria: a relaxed structure of BeCoTe2N (PBE).

Computed properties:
Crystal system: tetragonal
Formation energy from raw total energies (eV/f.u.): 2.908

```
data_BeCoTe2N
_symmetry_space_group_name_H-M 'P 1'
_symmetry_Int_Tables_number 1
_cell_length_a 5.283
_cell_length_b 5.283
_cell_length_c 3.040
_cell_angle_alpha 90.00
_cell_angle_beta 90.00
_cell_angle_gamma 90.00
loop_
_symmetry_equiv_pos_as_xyz
'x,y,z'
loop_
_atom_site_label
_atom_site_fract_x
_atom_site_fract_y
_atom_site_fract_z
Te1 0.500 0.000 0.000
Te2 0.000 0.500 0.000
N1 0.000 0.000 0.500
Co1 0.500 0.500 0.500
Be1 0.000 0.000 0.000
```

=====

Record 4
Entry from Alexandria: a relaxed structure of HgPdS (PBE).

Computed properties:
Crystal system: trigonal
Formation energy from raw total energies (eV/f.u.): -0.079

```
data_HgPdS
_symmetry_space_group_name_H-M 'P 1'
_symmetry_Int_Tables_number 1
_cell_length_a 3.584
_cell_length_b 3.584
_cell_length_c 5.374
_cell_angle_alpha 90.00
_cell_angle_beta 90.00
_cell_angle_gamma 120.00
loop_
_symmetry_equiv_pos_as_xyz
'x,y,z'
loop_
_atom_site_label
_atom_site_fract_x
_atom_site_fract_y
_atom_site_fract_z
Pd1 0.667 0.333 0.382
S1 0.333 0.667 0.608
Hg1 0.000 0.000 0.010
```

=====

Record 5
Entry from Alexandria: a relaxed structure of CuAg3Au (PBE).

Computed properties:
Crystal system: monoclinic
Energy of formation from the pure elements (eV/atom): 0.06

```
data_CuAg3Au
_symmetry_space_group_name_H-M 'P 1'
_symmetry_Int_Tables_number 1
_cell_length_a 7.112
_cell_length_b 5.645
_cell_length_c 8.867
_cell_angle_alpha 90.00
_cell_angle_beta 73.37
_cell_angle_gamma 90.00
loop_
_symmetry_equiv_pos_as_xyz
'x,y,z'
loop_
_atom_site_label
_atom_site_fract_x
_atom_site_fract_y
_atom_site_fract_z
Cu1 0.099 0.199 0.110
Ag1 0.711 0.491 0.205
Cu2 0.099 0.801 0.610
Au1 0.273 0.008 0.809
Ag2 0.903 0.704 0.410
Ag3 0.512 0.249 0.499
Au2 0.273 0.992 0.309
Ag4 0.488 0.751 0.501
Ag5 0.488 0.249 0.001
Ag6 0.097 0.296 0.590
Au3 0.727 0.008 0.691
Ag7 0.711 0.509 0.705
Ag8 0.289 0.509 0.795
Cu3 0.901 0.199 0.390
Ag9 0.903 0.296 0.910
Ag10 0.097 0.704 0.090
Ag11 0.512 0.751 0.999
Au4 0.727 0.992 0.191
Ag12 0.289 0.491 0.295
Cu4 0.901 0.801 0.890
```

=====

Record 6
Entry from Alexandria: a relaxed structure of Nb3AsW (PBE).

Computed properties:
Crystal system: cubic
Energy of formation from the pure elements (eV/atom): 1.01

```
data_Nb3AsW
_symmetry_space_group_name_H-M 'P 1'
_symmetry_Int_Tables_number 1
_cell_length_a 4.680
_cell_length_b 4.680
_cell_length_c 4.680
_cell_angle_alpha 90.00
_cell_angle_beta 90.00
_cell_angle_gamma 90.00
loop_
_symmetry_equiv_pos_as_xyz
'x,y,z'
loop_
_atom_site_label
_atom_site_fract_x
_atom_site_fract_y
_atom_site_fract_z
Nb1 0.000 0.000 0.500
Nb2 0.500 0.000 0.000
As1 0.000 0.000 0.000
Nb3 0.000 0.500 0.000
W1 0.500 0.500 0.500
```

=====

no.,DFT total energy (eV per atom)
1,-3.91
2,-3.47
3,-4.51
4,-3.23
5,-3.13
6,-8.55